Rb2TmCoO4 | GGA+U | relaxed

Lattice parameters (Å, degrees): 5.598 6.926 11.468 84.34 75.87 66.16
Site moments in Bohr magnetons follow the coordinates.
Positions (direct):
O 0.527 0.320 0.577  0.21
O 0.425 0.680 0.423  0.21
Tm 0.000 0.000 0.000  0.04
O 0.325 0.820 0.077  0.21
Co 0.500 0.000 0.000  2.93
Tm 0.750 0.500 0.500  0.04
Rb 0.937 0.500 0.126  0.00
O 0.223 0.180 0.923  0.21
Co 0.250 0.500 0.500  2.93
Rb 0.563 0.500 0.874  0.00
O 0.854 0.820 0.923  0.21
O 0.598 0.180 0.077  0.21
O 0.152 0.320 0.423  0.21
O 0.896 0.680 0.577  0.21
Rb 0.187 0.000 0.626  0.00
Rb 0.813 0.000 0.374  0.00

Results
The value obtained for the uncorrected energy is -5.591 eV per atom.